Entry from Alexandria via LeMat-Bulk: an optimized crystal structure of AlS2N2 (GGA-PBEsol).

```
AlS2N2
1.0
3.368 0.000 0.000
0.000 3.368 0.000
0.000 0.000 6.188
N S Al
2 2 1
direct
0.000 0.500 0.000
0.500 0.000 0.000
0.000 0.000 0.000
0.000 0.000 0.500
0.500 0.500 0.500
```

The uncorrected formation energy is 948 meV per atom. As for the space group: P4/mmm, No. 123. The offset from the most stable computed form is 43 meV per atom. The calculation puts the total energy at -25.174 eV per formula unit. The calculated volume comes out at 70.19 Å³ per cell.



Entry from Alexandria via LeMat-Bulk: an optimized crystal structure of KLaAg2Se (GGA-PBEsol).

```
KLaAg2Se
1.0
5.069 0.000 0.000
0.000 5.069 0.000
0.000 0.000 5.558
K Ag La Se
1 2 1 1
direct
0.000 0.000 0.500
0.000 0.500 0.000
0.500 0.000 0.000
0.500 0.500 0.500
0.000 0.000 0.000
```

The uncorrected formation energy is 275 meV per atom. As for the space group: P4/mmm, No. 123. The calculation puts the total energy at -15.579 eV per formula unit. The calculated volume comes out at 142.80 Å³ per cell.



Entry from Alexandria via LeMat-Bulk: an optimized crystal structure of LiCaAs (GGA-PBEsol).

```
LiCaAs
1.0
4.275 0.000 0.000
0.000 7.164 0.000
0.000 0.000 7.844
Li As Ca
4 4 4
direct
0.250 0.648 0.932
0.750 0.852 0.432
0.750 0.352 0.068
0.250 0.148 0.568
0.750 0.731 0.104
0.250 0.269 0.896
0.250 0.769 0.604
0.750 0.231 0.396
0.250 0.014 0.196
0.750 0.986 0.804
0.250 0.514 0.304
0.750 0.486 0.696
```

As for the space group: Pnma, No. 62. The calculation puts the total energy at -12.439 eV per formula unit. As for the formation enthalpy at 0 K: -1.08 eV/atom. The calculated volume comes out at 240.22 Å³ per cell.



Entry from Alexandria via LeMat-Bulk: an optimized crystal structure of CsTlP2Se (GGA-PBEsol).

```
CsTlP2Se
1.0
-2.454 -1.381 4.215
4.389 -0.059 2.535
-0.894 6.797 1.706
Se P Cs Tl
1 2 1 1
direct
0.500 0.500 0.500
0.500 0.000 0.000
0.000 0.500 0.000
0.000 0.000 0.500
0.000 0.000 0.000
```

The uncorrected formation energy is 885 meV per atom. As for the space group: P4/mmm, No. 123. The calculation puts the total energy at -14.583 eV per formula unit. The calculated volume comes out at 181.50 Å³ per cell.